A plane-wave DFT calculation with PBE+U was carried out for a relaxed structure of UPaCrO6.

Energy, eV/atom: -9.203
Size of the total moment, μB/f.u.: 4.06

Unit cell a=5.920 b=5.920 c=9.202 alpha=90.00 beta=90.00 gamma=120.00
Sites, in units of the cell vectors:
U (0.333, 0.667, 0.250)
U (0.667, 0.333, 0.750)
Pa (0.333, 0.667, 0.750)
Pa (0.667, 0.333, 0.250)
Cr (0.000, 0.000, 0.000)
Cr (0.000, 0.000, 0.500)
O (0.008, 0.362, 0.138)
O (0.008, 0.646, 0.362)
O (0.354, 0.362, 0.362)
O (0.354, 0.992, 0.138)
O (0.362, 0.008, 0.638)
O (0.362, 0.354, 0.862)
O (0.638, 0.646, 0.138)
O (0.638, 0.992, 0.362)
O (0.646, 0.008, 0.862)
O (0.646, 0.638, 0.638)
O (0.992, 0.354, 0.638)
O (0.992, 0.638, 0.862)